1.
Material: CrNiPb
Method: DFT, PBE
State: optimized geometry

Properties
Magnetic moment   3.80 Bohr magnetons per cell
ΔE_f   0.4853 eV per atom
VASP energy   -5.8857 eV/atom
D(E_F)   1.90 states/eV/cell

Unit cell a=4.437 b=4.437 c=3.088 alpha=90.00 beta=90.00 gamma=120.00
Fractional coordinates of all 3 atoms:
Cr 0.000 0.000 0.000
Ni 0.667 0.333 0.483
Pb 0.333 0.667 0.507

***

2.
Material: CrNiPb2
Method: DFT, PBE
State: optimized geometry

Properties
Magnetic moment   4.62 Bohr magnetons per cell
ΔE_f   0.4920 eV per atom
VASP energy   -5.2134 eV/atom
D(E_F)   1.56 states/eV/cell

Unit cell a=8.664 b=8.664 c=8.664 alpha=22.81 beta=22.81 gamma=22.81
Fractional coordinates of all 4 atoms:
Cr 0.000 0.000 0.000
Ni 0.500 0.500 0.500
Pb 0.241 0.241 0.241
Pb 0.759 0.759 0.759

***

3.
Material: CrNiPb2
Method: DFT, PBE
State: optimized geometry

Properties
Magnetic moment   3.71 Bohr magnetons per cell
ΔE_f   0.4957 eV per atom
VASP energy   -5.2097 eV/atom
D(E_F)   3.72 states/eV/cell

Unit cell a=4.766 b=4.766 c=3.562 alpha=90.00 beta=90.00 gamma=90.00
Fractional coordinates of all 4 atoms:
Cr 0.000 0.000 0.000
Ni 0.500 0.500 0.000
Pb 0.000 0.500 0.500
Pb 0.500 0.000 0.500